# 1
The following is a DFT calculation (PBE) of P3HAu after structural relaxation.

As for the energy above the most stable polymorph in this dataset: 0 meV per atom. For the total energy, the calculation gives -0.270 Ry/atom. The density comes out at 7.14 Mg/m³.

It has space group Pm-3m (No. 221), with a = 4.074 Å, b = 4.074 Å, c = 4.074 Å, α = 90.00°, β = 90.00° and γ = 90.00°. The asymmetric unit holds P at (0.000, 0.000, 0.500), H at (0.000, 0.000, 0.000) and Au at (0.500, 0.500, 0.500).



# 2
The following is a DFT calculation (PBE) of PH3Au after structural relaxation.

As for the energy above the most stable polymorph in this dataset: 593 meV per atom. For the total energy, the calculation gives -0.220 Ry/atom. The density comes out at 8.20 Mg/m³.

It has space group Pm-3m (No. 221), with a = 3.602 Å, b = 3.602 Å, c = 3.602 Å, α = 90.00°, β = 90.00° and γ = 90.00°. The asymmetric unit holds P at (0.000, 0.000, 0.000), H at (0.000, 0.000, 0.500) and Au at (0.500, 0.500, 0.500).



Copy entry 2 word for word.
The following is a DFT calculation (PBE) of PH3Au after structural relaxation.

As for the energy above the most stable polymorph in this dataset: 593 meV per atom. For the total energy, the calculation gives -0.220 Ry/atom. The density comes out at 8.20 Mg/m³.

It has space group Pm-3m (No. 221), with a = 3.602 Å, b = 3.602 Å, c = 3.602 Å, α = 90.00°, β = 90.00° and γ = 90.00°. The asymmetric unit holds P at (0.000, 0.000, 0.000), H at (0.000, 0.000, 0.500) and Au at (0.500, 0.500, 0.500).